This record from Alexandria via LeMat-Bulk describes an optimized crystal structure of Ce2Dy3YBi6. The functional is PBE.

Cell: 4.5263 9.0357 10.1006 Å, 102.88 102.95 90.00°
Last column: magnetic moment on the atom in μB.
Positions (direct):
Ce (0.8343, 0.6684, 0.6687)  0.80
Ce (0.1657, 0.3316, 0.3313)  0.80
Dy (0.5000, 0.5000, 0.0000)  -0.01
Dy (0.8329, 0.1660, 0.6659)  -0.01
Dy (0.1671, 0.8340, 0.3341)  -0.01
Y (0.5000, 0.0000, 0.0000)  0.00
Bi (0.3336, 0.9216, 0.6671)  -0.02
Bi (0.6654, 0.5868, 0.3307)  -0.02
Bi (0.6664, 0.0784, 0.3329)  -0.02
Bi (0.9981, 0.2495, 0.9961)  -0.01
Bi (0.0019, 0.7505, 0.0039)  -0.01
Bi (0.3346, 0.4132, 0.6693)  -0.02

Properties
Energy of formation ... -844 meV/atom
Space-group type ... C2/m (12)

***

This record from Alexandria via LeMat-Bulk describes an optimized crystal structure of Ba2CuTc. The functional is PBE.

Cell: 3.7424 3.7410 9.2731 Å, 66.21 90.00 90.00°
Last column: magnetic moment on the atom in μB.
Positions (direct):
Ba (0.0000, 0.9998, 0.9998)  -0.04
Ba (0.0000, 0.5002, 0.5002)  -0.04
Cu (0.5000, 0.2500, 0.2500)  0.00
Tc (0.5000, 0.7500, 0.7500)  1.74

Properties
Energy of formation ... 718 meV/atom
Relative energy among the computed polymorphs ... 1.224 eV/f.u.
Space-group type ... P4/mmm (123)

***

This record from Alexandria via LeMat-Bulk describes an optimized crystal structure of ZrTlCu. The functional is PBE.

Cell: 8.1152 6.1232 4.6950 Å, 90.00 90.00 90.00°
Positions (direct):
Tl (0.0000, 0.0000, 0.0000)
Tl (0.5000, 0.5000, 0.5000)
Tl (0.5000, 0.0000, 0.5000)
Tl (0.0000, 0.5000, 0.0000)
Cu (0.6673, 0.2500, 0.0000)
Cu (0.8327, 0.7500, 0.5000)
Cu (0.3327, 0.7500, 0.0000)
Cu (0.1673, 0.2500, 0.5000)
Zr (0.3339, 0.2500, 0.0000)
Zr (0.1661, 0.7500, 0.5000)
Zr (0.6661, 0.7500, 0.0000)
Zr (0.8339, 0.2500, 0.5000)

Properties
Energy of formation ... 3 meV/atom
Space-group type ... Cmcm (63)

***

This record from Alexandria via LeMat-Bulk describes an optimized crystal structure of La12Er3Tl. The functional is PBE.

Cell: 5.1626 5.1626 20.8332 Å, 90.00 90.00 90.00°
Positions (direct):
La (0.5000, 0.5000, 0.0000)
La (0.5000, 0.5000, 0.2493)
La (0.5000, 0.5000, 0.5000)
La (0.5000, 0.5000, 0.7507)
La (0.5000, 0.0000, 0.1227)
La (0.5000, 0.0000, 0.3745)
La (0.5000, 0.0000, 0.6255)
La (0.5000, 0.0000, 0.8773)
La (0.0000, 0.5000, 0.1227)
La (0.0000, 0.5000, 0.3745)
La (0.0000, 0.5000, 0.6255)
La (0.0000, 0.5000, 0.8773)
Er (0.0000, 0.0000, 0.2490)
Er (0.0000, 0.0000, 0.5000)
Er (0.0000, 0.0000, 0.7510)
Tl (0.0000, 0.0000, 0.0000)

Properties
Energy of formation ... -46 meV/atom
Space-group type ... P4/mmm (123)

***

This record from Alexandria via LeMat-Bulk describes an optimized crystal structure of Cs2HgPd. The functional is PBE.

Cell: 12.8789 12.8789 9.4946 Å, 47.29 47.29 90.00°
Positions (direct):
Cs (0.4518, 0.1250, 0.2500)
Cs (0.2982, 0.6250, 0.2500)
Cs (0.3750, 0.5482, 0.7500)
Cs (0.8750, 0.7018, 0.7500)
Hg (0.0000, 0.0000, 0.0000)
Hg (0.7500, 0.2500, 0.5000)
Pd (0.5000, 0.5000, 0.0000)
Pd (0.2500, 0.7500, 0.5000)

Properties
Energy of formation ... -110 meV/atom
Relative energy among the computed polymorphs ... 0.213 eV/f.u.
Space-group type ... I-42d (122)

***

This record from Alexandria via LeMat-Bulk describes an optimized crystal structure of FeTc2Br. The functional is PBE.

Cell: 4.3287 4.3287 4.3287 Å, 60.00 60.00 60.00°
Last column: magnetic moment on the atom in μB.
Positions (direct):
Tc (0.2500, 0.2500, 0.2500)  -0.12
Tc (0.7500, 0.7500, 0.7500)  -0.12
Br (0.5000, 0.5000, 0.5000)  0.03
Fe (0.0000, 0.0000, 0.0000)  1.95

Properties
Relative energy among the computed polymorphs ... 1.853 eV/f.u.
E_form (uncorrected) ... 0.89 eV/atom
Space-group type ... Fm-3m (225)

***

This record from Alexandria via LeMat-Bulk describes an optimized crystal structure of TlSnSbF2. The functional is PBE.

Cell: 4.5257 4.5257 6.0201 Å, 90.00 90.00 90.00°
Positions (direct):
Sb (0.0000, 0.0000, 0.5000)
Tl (0.5000, 0.5000, 0.5000)
Sn (0.0000, 0.0000, 0.0000)
F (0.0000, 0.5000, 0.0000)
F (0.5000, 0.0000, 0.0000)

Properties
E_form (uncorrected) ... -1.24 eV/atom
Space-group type ... P4/mmm (123)

***

This record from Alexandria via LeMat-Bulk describes an optimized crystal structure of Hf3NbW. The functional is PBE.

Cell: 4.9860 4.9860 4.9860 Å, 90.00 90.00 90.00°
Positions (direct):
Nb (0.5000, 0.5000, 0.5000)
Hf (0.0000, 0.5000, 0.0000)
Hf (0.0000, 0.0000, 0.5000)
Hf (0.5000, 0.0000, 0.0000)
W (0.0000, 0.0000, 0.0000)

Properties
Energy of formation ... 1164 meV/atom
Relative energy among the computed polymorphs ... 0.000 eV/f.u.
Space-group type ... Pm-3m (221)

***

This record from Alexandria via LeMat-Bulk describes an optimized crystal structure of YAl2Ir. The functional is PBE.

Cell: 4.4947 3.2808 5.2536 Å, 82.46 90.00 90.00°
Positions (direct):
Y (0.5000, 0.7500, 0.7500)
Ir (0.5000, 0.2500, 0.2500)
Al (0.0000, 0.1625, 0.0183)
Al (0.0000, 0.3375, 0.4817)

Properties
Energy of formation ... -516 meV/atom
Space-group type ... P2/m (10)

***

This record from Alexandria via LeMat-Bulk describes an optimized crystal structure of Ba12LiAu6. The functional is PBE.

Cell: 10.3319 10.3319 10.3319 Å, 109.47 109.47 109.47°
Positions (direct):
Ba (0.3121, 0.1333, 0.8212)
Ba (0.3121, 0.4908, 0.1788)
Ba (0.6879, 0.5092, 0.8212)
Ba (0.6879, 0.8667, 0.1788)
Ba (0.1333, 0.8212, 0.3121)
Ba (0.4908, 0.1788, 0.3121)
Ba (0.5092, 0.8212, 0.6879)
Ba (0.8667, 0.1788, 0.6879)
Ba (0.8212, 0.3121, 0.1333)
Ba (0.1788, 0.3121, 0.4908)
Ba (0.8212, 0.6879, 0.5092)
Ba (0.1788, 0.6879, 0.8667)
Li (0.0000, 0.0000, 0.0000)
Au (0.3760, 0.5000, 0.8760)
Au (0.6240, 0.5000, 0.1240)
Au (0.5000, 0.8760, 0.3760)
Au (0.5000, 0.1240, 0.6240)
Au (0.8760, 0.3760, 0.5000)
Au (0.1240, 0.6240, 0.5000)

Properties
Energy of formation ... -457 meV/atom
Space-group type ... Im-3 (204)

***

This record from Alexandria via LeMat-Bulk describes an optimized crystal structure of La2Dy4Y. The functional is PBE.

Cell: 5.5484 5.5484 9.5690 Å, 106.85 106.85 90.00°
Last column: magnetic moment on the atom in μB.
Positions (direct):
La (0.6257, 0.6257, 0.2514)  0.01
La (0.3743, 0.3743, 0.7486)  0.01
Dy (0.8241, 0.8241, 0.6481)  0.02
Dy (0.1759, 0.1759, 0.3519)  0.02
Dy (0.0000, 0.5000, 0.0000)  0.13
Dy (0.5000, 0.0000, 0.0000)  0.13
Y (0.0000, 0.0000, 0.0000)  0.21

Properties
Energy of formation ... 639 meV/atom
Relative energy among the computed polymorphs ... 4.293 eV/f.u.
Space-group type ... I4/mmm (139)

***

This record from Alexandria via LeMat-Bulk describes an optimized crystal structure of AlC5. The functional is PBE.

Cell: 3.8510 3.8510 4.2711 Å, 90.00 90.00 120.00°
Positions (direct):
Al (0.0000, 0.0000, 0.5000)
C (0.7843, 0.0000, 0.0000)
C (0.2157, 0.2157, 0.0000)
C (0.0000, 0.7843, 0.0000)
C (0.6667, 0.3333, 0.5000)
C (0.3333, 0.6667, 0.5000)

Properties
Energy of formation ... 2855 meV/atom
Relative energy among the computed polymorphs ... 12.953 eV/f.u.
Space-group type ... P-62m (189)

***

In order of appearance, total energy = -5.46, -3.86, -5.00, -4.75, -1.91, -6.83, -4.09, -9.41, -6.22, -2.81, -4.32, -5.46 eV per atom.